# Y2ZnNi3Ge4

A geometry-optimized Y2ZnNi3Ge4 structure (GGA-PBE, Alexandria via LeMat-Bulk).

a = 4.0843 Å, b = 4.0843 Å, c = 9.9951 Å
α = 90.00°, β = 90.00°, γ = 90.00°
Closest atoms and distances in Å follow each position.
Space group P-4m2 (No. 115)
Unique sites:
Y 0.0000 0.5000 0.2445  8 Ge 3.10-3.19, 6 Ni 3.14-3.27, 2 Zn 3.27
Zn 0.0000 0.0000 0.5000  4 Ge 2.50
Ni 0.0000 0.5000 0.8776  5 Ge 2.33-2.38
Ni 0.5000 0.5000 0.5000  4 Ge 2.50
Ge 0.0000 0.0000 0.0000  4 Ni 2.38
Ge 0.0000 0.5000 0.6441  3 Ni 2.33-2.50, 2 Zn 2.50
Ge 0.5000 0.5000 0.0000  4 Ni 2.38

Values from the calculation:
As for the energy of formation from the pure elements: -639 meV per atom. The total moment comes out at 0.0 μB/cell. As for the theoretical density: 7.070 g/cm3.